Entry 1:
PBE-GGA CaTe2NCl, relaxed; density of states at the Fermi level = 0.781 states/eV per atom; crystal system = tetragonal; spin magnetization = 0.20 μB/f.u.; E_form (uncorrected) = 0.65 eV per atom
1.0
5.958 0.000 0.000
0.000 5.958 0.000
0.000 0.000 3.509
Ca Te N Cl
1 2 1 1
Direct
0.000 0.000 0.000
0.000 0.500 0.500
0.500 0.000 0.500
0.500 0.500 0.000
0.500 0.500 0.500


Entry 2:
PBE-GGA NdGdSc, relaxed; density of states at the Fermi level = 1.685 states/eV per atom; crystal system = tetragonal; spin magnetization = 7.39 μB/f.u.; formation enthalpy at 0 K = 53.6 meV/atom
1.0
-1.777 1.777 7.277
1.777 -1.777 7.277
1.777 1.777 -7.277
Nd Gd Sc
1 1 1
Direct
0.000 0.000 0.000
0.680 0.680 0.000
0.340 0.340 0.000


Entry 3:
PBE-GGA LiCu2Pd2, relaxed; density of states at the Fermi level = 0.533 states/eV per atom; crystal system = tetragonal; spin magnetization = 0.00 μB/f.u.; formation enthalpy at 0 K = -130.7 meV/atom
1.0
7.293 0.000 0.000
0.000 7.293 0.000
0.000 0.000 2.800
Li Cu Pd
2 4 4
Direct
0.000 0.000 0.000
0.500 0.500 0.000
0.123 0.377 0.000
0.377 0.877 0.000
0.623 0.123 0.000
0.877 0.623 0.000
0.173 0.673 0.500
0.327 0.173 0.500
0.673 0.827 0.500
0.827 0.327 0.500


no.,excess energy over the best structure of this formula in the dataset (eV/atom),DFT total energy (eV per atom)
1,0.000,-3.038
2,0.000,-8.340
3,0.086,-4.229